Record 1
Compound: CsTe2IO
Source: Alexandria
Functional: SCAN
Structure: PBEsol geometry

Geometry as POSCAR:
```
CsTe2IO
1.0
4.697 0.000 0.000
0.000 4.697 0.000
0.000 0.000 7.152
O Cs I Te
1 1 1 2
Direct
0.000 0.000 0.000
0.500 0.500 0.500
0.000 0.000 0.500
0.000 0.500 0.000
0.500 0.000 0.000
```

Summary:
Polymorph energy (0 for the lowest one): 0.000 eV/atom
DFT total energy: -2.306 Ry per atom
Formation energy without anion corrections: -0.323 eV/atom

***

Record 2
Compound: CsTe2IO
Source: Alexandria
Functional: SCAN
Structure: PBEsol geometry

Geometry as POSCAR:
```
CsTe2IO
1.0
-1.872 -6.963 0.914
5.689 -0.949 4.422
-3.985 1.794 5.511
Te I O Cs
2 1 1 1
Direct
0.500 0.000 0.000
0.000 0.500 0.000
0.000 0.000 0.500
0.500 0.500 0.500
0.000 0.000 0.000
```

Summary:
Polymorph energy (0 for the lowest one): 1.254 eV/atom
DFT total energy: -2.214 Ry per atom
Formation energy without anion corrections: 0.931 eV/atom

***

Record 3
Compound: Cs2ZrI6O18
Source: Alexandria
Functional: SCAN
Structure: PBEsol geometry

Geometry as POSCAR:
```
Cs2ZrI6O18
1.0
-3.244 4.419 5.551
-6.228 -0.548 -4.668
-0.768 -6.892 3.574
O I Cs Zr
18 6 2 1
Direct
0.410 0.279 0.897
0.353 0.273 0.544
0.091 0.694 0.106
0.590 0.721 0.103
0.909 0.306 0.894
0.306 0.894 0.909
0.279 0.897 0.410
0.721 0.103 0.590
0.103 0.590 0.721
0.897 0.410 0.279
0.273 0.544 0.353
0.727 0.456 0.647
0.647 0.727 0.456
0.544 0.353 0.273
0.894 0.909 0.306
0.106 0.091 0.694
0.456 0.647 0.727
0.694 0.106 0.091
0.298 0.658 0.887
0.658 0.887 0.298
0.113 0.702 0.342
0.342 0.113 0.702
0.887 0.298 0.658
0.702 0.342 0.113
0.838 0.838 0.838
0.162 0.162 0.162
0.500 0.500 0.500
```

Summary:
DFT total energy: -1.269 Ry per atom
Formation energy without anion corrections: -1.014 eV/atom

***

Record 4
Compound: CsZrI2O
Source: Alexandria
Functional: SCAN
Structure: PBEsol geometry

Geometry as POSCAR:
```
CsZrI2O
1.0
-0.838 -2.941 -2.660
-2.716 -3.193 4.384
-5.277 2.689 -1.311
I Cs Zr O
2 1 1 1
Direct
0.000 0.000 0.500
0.000 0.500 0.000
0.500 0.500 0.500
0.000 0.000 0.000
0.500 0.000 0.000
```

Summary:
DFT total energy: -2.308 Ry per atom
Formation energy without anion corrections: -1.757 eV/atom

***

Record 5
Compound: Cs2Pr10Os2I17
Source: Alexandria
Functional: SCAN
Structure: PBEsol geometry

Geometry as POSCAR:
```
Cs2Pr10Os2I17
1.0
-2.498 -4.934 -8.198
-8.185 -5.031 6.371
-4.201 10.005 -3.893
Os I Pr Cs
2 17 10 2
Direct
0.570 0.860 0.860
0.430 0.140 0.140
0.862 0.953 0.615
0.580 0.529 0.191
0.270 0.749 0.099
0.862 0.615 0.953
0.270 0.099 0.749
0.718 0.562 0.562
0.000 0.000 0.000
0.730 0.901 0.251
0.420 0.471 0.809
0.138 0.385 0.047
0.730 0.251 0.901
0.138 0.047 0.385
0.130 0.709 0.709
0.870 0.291 0.291
0.282 0.438 0.438
0.420 0.809 0.471
0.580 0.191 0.529
0.572 0.707 0.010
0.443 0.670 0.670
0.428 0.293 0.990
0.685 0.064 0.064
0.315 0.936 0.936
0.572 0.010 0.707
0.821 0.792 0.792
0.428 0.990 0.293
0.179 0.208 0.208
0.557 0.330 0.330
0.000 0.327 0.673
0.000 0.673 0.327
```

Summary:
DFT total energy: -3.133 Ry per atom
Formation energy without anion corrections: -1.422 eV/atom

***

Record 6
Compound: CsTe2OsI
Source: Alexandria
Functional: SCAN
Structure: PBEsol geometry

Geometry as POSCAR:
```
CsTe2OsI
1.0
-1.319 -5.024 0.191
4.262 -1.222 -2.713
3.049 -0.608 5.064
Te Os I Cs
2 1 1 1
Direct
0.000 0.500 0.000
0.500 0.000 0.000
0.000 0.000 0.000
0.000 0.000 0.500
0.500 0.500 0.500
```

Summary:
DFT total energy: -3.247 Ry per atom
Formation energy without anion corrections: 0.005 eV/atom

***

Record 7
Compound: CsTeOsI2
Source: Alexandria
Functional: SCAN
Structure: PBEsol geometry

Geometry as POSCAR:
```
CsTeOsI2
1.0
-3.212 -0.311 3.803
-2.108 -4.886 -2.180
3.861 -3.011 3.015
Te Cs I Os
1 1 2 1
Direct
0.500 0.000 0.000
0.500 0.500 0.500
0.000 0.500 0.000
0.000 0.000 0.500
0.000 0.000 0.000
```

Summary:
DFT total energy: -3.249 Ry per atom
Formation energy without anion corrections: -0.118 eV/atom

***

Record 8
Compound: Cs2PI2
Source: Alexandria
Functional: SCAN
Structure: PBEsol geometry

Geometry as POSCAR:
```
Cs2PI2
1.0
6.965 0.025 0.037
-3.174 6.200 -0.037
-3.174 -2.334 5.744
Cs I P
2 2 1
Direct
0.500 0.750 0.250
0.500 0.250 0.750
0.000 0.299 0.299
0.000 0.701 0.701
0.000 0.000 0.000
```

Summary:
DFT total energy: -2.392 Ry per atom
Formation energy without anion corrections: -0.648 eV/atom

***

Record 9
Compound: CsPd2I
Source: Alexandria
Functional: SCAN
Structure: PBEsol geometry

Geometry as POSCAR:
```
CsPd2I
1.0
-1.219 -4.340 2.432
3.561 -2.516 2.689
-0.241 -0.088 5.116
Pd Cs I
2 1 1
Direct
0.250 0.250 0.250
0.750 0.750 0.750
0.500 0.500 0.500
0.000 0.000 0.000
```

Summary:
DFT total energy: -2.557 Ry per atom
Formation energy without anion corrections: 0.231 eV/atom

***

Record 10
Compound: CsPt3I
Source: Alexandria
Functional: SCAN
Structure: PBEsol geometry

Geometry as POSCAR:
```
CsPt3I
1.0
5.069 0.000 0.000
0.000 5.069 0.000
0.000 0.000 5.069
Cs Pt I
1 3 1
Direct
0.500 0.500 0.500
0.000 0.500 0.000
0.500 0.000 0.000
0.000 0.000 0.500
0.000 0.000 0.000
```

Summary:
DFT total energy: -4.143 Ry per atom
Formation energy without anion corrections: 0.657 eV/atom

***

Record 11
Compound: Cs3PtI
Source: Alexandria
Functional: SCAN
Structure: PBEsol geometry

Geometry as POSCAR:
```
Cs3PtI
1.0
6.398 0.000 0.000
0.000 6.398 0.000
0.000 0.000 6.398
Cs I Pt
3 1 1
Direct
0.000 0.000 0.500
0.000 0.500 0.000
0.500 0.000 0.000
0.500 0.500 0.500
0.000 0.000 0.000
```

Summary:
DFT total energy: -3.289 Ry per atom
Formation energy without anion corrections: -0.679 eV/atom

***

Record 12
Compound: Cs2RbYI6
Source: Alexandria
Functional: SCAN
Structure: PBEsol geometry

Geometry as POSCAR:
```
Cs2RbYI6
1.0
8.989 0.000 0.000
4.495 7.785 0.000
4.495 2.595 7.340
I Y Cs Rb
6 1 2 1
Direct
0.234 0.766 0.766
0.234 0.234 0.766
0.766 0.234 0.766
0.234 0.766 0.234
0.766 0.766 0.234
0.766 0.234 0.234
0.000 0.000 0.000
0.750 0.750 0.750
0.250 0.250 0.250
0.500 0.500 0.500
```

Summary:
DFT total energy: -2.654 Ry per atom
Formation energy without anion corrections: -1.642 eV/atom

***

- formation energy without anion corrections of number 8 (Cs2PI2)?
  -0.648 eV/atom